# CaIr3 (SCAN, PBEsol geometry)
# N(E_F) (states/eV/f.u.): 2.74
# Calculated formation energy (eV/atom): 0.00
# Calculated volume (Å³/f.u.): 64
# M_tot (μB/f.u.): 0.000
# Calculated total energy (eV/atom): -55.743
data_CaIr3
_chemical_formula_sum 'Ca2 Ir6'
_space_group_name_H-M_alt 'C 1 2/m 1'
_space_group_IT_number 12
_space_group_name_Hall '-C 2y'
_cell_length_a 9.3554
_cell_length_b 2.7680
_cell_length_c 5.0209
_cell_angle_alpha 90.00
_cell_angle_beta 99.56
_cell_angle_gamma 90.00
loop_
_atom_site_label
_atom_site_type_symbol
_atom_site_fract_x
_atom_site_fract_y
_atom_site_fract_z
Ca1 Ca 0.0000 0.0000 0.0000
Ir1 Ir 0.0000 0.5000 0.5000
Ir2 Ir 0.2393 0.0000 0.7140

***

# Ca3Ir (SCAN, PBEsol geometry)
# N(E_F) (states/eV/f.u.): 1.49
# Calculated formation energy (eV/atom): -0.37
# Calculated volume (Å³/f.u.): 110
# M_tot (μB/f.u.): 0.003
# Calculated total energy (eV/atom): -25.390
data_Ca3Ir
_chemical_formula_sum 'Ca12 Ir4'
_space_group_name_H-M_alt 'P n m a'
_space_group_IT_number 62
_space_group_name_Hall '-P 2ac 2n'
_cell_length_a 7.7142
_cell_length_b 9.1233
_cell_length_c 6.2574
_cell_angle_alpha 90.00
_cell_angle_beta 90.00
_cell_angle_gamma 90.00
loop_
_atom_site_label
_atom_site_type_symbol
_atom_site_fract_x
_atom_site_fract_y
_atom_site_fract_z
Ca1 Ca 0.0392 0.2500 0.1310
Ca2 Ca 0.1674 0.0649 0.6525
Ir1 Ir 0.1259 0.7500 0.4517